No. 1
Below is a relaxed CsGeSe2 crystal, with properties calculated at the GGA-PBE level.

**E**: -60.3 eV for the cell shown
**V**: 37.123 Å³ per atom
**E_form (uncorrected)**: -658 meV per atom

a = 6.873 Å, b = 10.901 Å, c = 7.928 Å
α = 90.00°, β = 90.00°, γ = 90.00°
Fractional positions:
Ge: 0.983 0.124 0.494
Cs: 0.915 0.628 0.479
Cs: 0.085 0.372 0.979
Se: 0.192 0.685 0.102
Se: 0.577 0.446 0.175
Se: 0.423 0.554 0.675
Ge: 0.517 0.624 0.994
Cs: 0.415 0.872 0.479
Se: 0.077 0.054 0.175
Se: 0.808 0.315 0.602
Ge: 0.017 0.876 0.994
Ge: 0.483 0.376 0.494
Cs: 0.585 0.128 0.979
Se: 0.308 0.185 0.602
Se: 0.692 0.815 0.102
Se: 0.923 0.946 0.675

***

No. 2
Below is a relaxed CeSbP2 crystal, with properties calculated at the GGA-PBE level.

**E**: -21.7 eV for the cell shown
**V**: 29.727 Å³ per atom
**E_form (uncorrected)**: -207 meV per atom

a = 4.118 Å, b = 4.118 Å, c = 8.440 Å
α = 75.88°, β = 75.88°, γ = 60.00°
Fractional positions:
Ce: 0.500 0.500 0.500
P: 0.894 0.894 0.318
P: 0.106 0.106 0.682
Sb: 0.000 0.000 0.000

***

No. 3
Below is a relaxed Np4Ge6Ir7 crystal, with properties calculated at the GGA-PBE level.

**ΔE_f**: -0.46 eV/atom
**E**: -149.3 eV for the cell shown
**V**: 17.672 Å³ per atom

a = 7.308 Å, b = 7.308 Å, c = 7.308 Å
α = 109.47°, β = 109.47°, γ = 109.47°
Each line ends with the local moment (μB).
Fractional positions:
Ge: 0.685 0.000 0.685  -0.02
Np: 0.500 0.500 0.500  3.45
Ir: 0.750 0.250 0.500  -0.11
Ge: 0.315 0.315 0.000  -0.02
Np: 0.000 0.000 0.500  3.45
Np: 0.500 0.000 0.000  3.45
Ge: 0.000 0.685 0.685  -0.02
Ir: 0.750 0.500 0.250  -0.11
Np: 0.000 0.500 0.000  3.45
Ir: 0.500 0.250 0.750  -0.11
Ir: 0.250 0.750 0.500  -0.11
Ir: 0.500 0.750 0.250  -0.11
Ge: 0.685 0.685 0.000  -0.02
Ir: 0.250 0.500 0.750  -0.11
Ge: 0.000 0.315 0.315  -0.02
Ge: 0.315 0.000 0.315  -0.02
Ir: 0.000 0.000 0.000  0.06